# YCrIn, optimized geometry, DFT PBE
# - calculated formation energy (eV/atom) = 0.251
# - total moment (μB per formula unit) = 4.16
data_YCrIn
_space_group_name_H-M_alt 'F -4 3 m'
_space_group_IT_number 216
_space_group_name_Hall 'F -4 2 3'
_cell_length_a 6.7678
_cell_length_b 6.7678
_cell_length_c 6.7678
_cell_angle_alpha 90.00
_cell_angle_beta 90.00
_cell_angle_gamma 90.00
loop_
_atom_site_label
_atom_site_type_symbol
_atom_site_fract_x
_atom_site_fract_y
_atom_site_fract_z
Y1 Y 0.0000 0.0000 0.0000
Cr1 Cr 0.2500 0.2500 0.7500
In1 In 0.0000 0.0000 0.5000

# OsC2, optimized geometry, DFT PBE
# - energy relative to the lowest polymorph listed for this composition (meV/atom) = 1659
# - calculated formation energy (eV/atom) = 2.223
# - total moment (μB per formula unit) = 0.00
data_OsC2
_space_group_name_H-M_alt 'P 63/m m c'
_space_group_IT_number 194
_space_group_name_Hall '-P 6c 2c'
_cell_length_a 3.3374
_cell_length_b 3.3374
_cell_length_c 6.5499
_cell_angle_alpha 90.00
_cell_angle_beta 90.00
_cell_angle_gamma 120.00
loop_
_atom_site_label
_atom_site_type_symbol
_atom_site_fract_x
_atom_site_fract_y
_atom_site_fract_z
Os1 Os 0.3333 0.6667 0.2500
C1 C 0.0000 0.0000 0.0000
C2 C 0.3333 0.6667 0.7500

Question: Which of these has the highest total moment?
Answer: YCrIn